# 1
CoPt3Rh2 | PBE | optimized geometry

## Properties
- energy of formation from the pure elements (eV per atom) = -0.03
- energy above the most stable polymorph in this dataset (meV per atom) = 0
- DFT total energy (eV/cell) = -80.21
- space-group type = P2_1/m (11)

abc: 5.4925 3.8533 8.2504
angles: 90.00 90.10 90.00
Closest atoms and distances in Å follow each position.
Positions (direct):
Co (0.1253, 0.2500, 0.2464)  7 Pt 2.67-2.78, 5 Rh 2.68-2.73
Co (0.8747, 0.7500, 0.7536)  7 Pt 2.67-2.78, 5 Rh 2.68-2.73
Pt (0.1204, 0.2500, 0.5838)  5 Rh 2.71-2.79, 4 Pt 2.71-2.73, 3 Co 2.74-2.78
Pt (0.3670, 0.7500, 0.0899)  5 Rh 2.67-2.82, 2 Co 2.67, 5 Pt 2.75-2.84
Pt (0.3726, 0.7500, 0.7481)  5 Pt 2.73-2.82, 5 Rh 2.73-2.77, 2 Co 2.73-2.76
Pt (0.6274, 0.2500, 0.2519)  5 Pt 2.73-2.82, 5 Rh 2.73-2.77, 2 Co 2.73-2.76
Pt (0.6330, 0.2500, 0.9101)  5 Rh 2.67-2.82, 2 Co 2.67, 5 Pt 2.75-2.84
Pt (0.8796, 0.7500, 0.4162)  5 Rh 2.71-2.79, 4 Pt 2.71-2.73, 3 Co 2.74-2.78
Rh (0.1206, 0.2500, 0.9210)  2 Rh 2.68, 7 Pt 2.68-2.82, 3 Co 2.68-2.73
Rh (0.3723, 0.7500, 0.4138)  8 Pt 2.67-2.79, 2 Co 2.73, 2 Rh 2.77
Rh (0.6277, 0.2500, 0.5862)  8 Pt 2.67-2.79, 2 Co 2.73, 2 Rh 2.77
Rh (0.8794, 0.7500, 0.0790)  2 Rh 2.68, 7 Pt 2.68-2.82, 3 Co 2.68-2.73

=====

# 2
Co3Pt2Rh2 | PBE | optimized geometry

## Properties
- energy of formation from the pure elements (eV per atom) = -0.02
- energy above the most stable polymorph in this dataset (meV per atom) = 8
- DFT total energy (eV/cell) = -48.26
- space-group type = C2/m (12)

abc: 5.8953 5.8953 6.5341
angles: 110.44 110.44 26.45
Closest atoms and distances in Å follow each position.
Positions (direct):
Co (0.0000, 0.0000, 0.0000)  4 Pt 2.62, 4 Rh 2.63, 4 Co 2.70-2.71
Co (0.1425, 0.1425, 0.4325)  3 Pt 2.58-2.62, 4 Rh 2.59-2.67, 5 Co 2.67-2.71
Co (0.8575, 0.8575, 0.5675)  3 Pt 2.58-2.62, 4 Rh 2.59-2.67, 5 Co 2.67-2.71
Pt (0.2914, 0.2914, 0.8451)  5 Co 2.58-2.62, 4 Pt 2.70-2.86, 3 Rh 2.77-2.79
Pt (0.7086, 0.7086, 0.1549)  5 Co 2.58-2.62, 4 Pt 2.70-2.86, 3 Rh 2.77-2.79
Rh (0.4362, 0.4362, 0.2884)  6 Co 2.59-2.67, 3 Rh 2.62-2.70, 3 Pt 2.77-2.79
Rh (0.5638, 0.5638, 0.7116)  6 Co 2.59-2.67, 3 Rh 2.62-2.70, 3 Pt 2.77-2.79

=====

# 3
Co2PtRh2 | PBE | optimized geometry

## Properties
- energy of formation from the pure elements (eV per atom) = 0.00
- energy above the most stable polymorph in this dataset (meV per atom) = 0
- DFT total energy (eV/cell) = -34.94
- space-group type = C2/m (12)

abc: 4.6056 4.6056 5.9300
angles: 129.78 129.78 48.36
Closest atoms and distances in Å follow each position.
Positions (direct):
Co (0.1006, 0.1006, 0.2962)  6 Rh 2.61-2.72, 3 Co 2.62-2.68, 3 Pt 2.65-2.68
Co (0.8994, 0.8994, 0.7038)  6 Rh 2.61-2.72, 3 Co 2.62-2.68, 3 Pt 2.65-2.68
Pt (0.5000, 0.5000, 0.5000)  6 Co 2.65-2.68, 6 Rh 2.67-2.70
Rh (0.3026, 0.3026, 0.8949)  3 Rh 2.60-2.73, 6 Co 2.61-2.72, 3 Pt 2.67-2.70
Rh (0.6974, 0.6974, 0.1051)  3 Rh 2.60-2.73, 6 Co 2.61-2.72, 3 Pt 2.67-2.70

=====

# 4
Co2PtRh | PBE | optimized geometry

## Properties
- energy of formation from the pure elements (eV per atom) = -0.02
- DFT total energy (eV/cell) = -27.68
- space-group type = Pmmm (47)

abc: 2.6826 3.6638 5.3831
angles: 90.00 90.00 90.00
Closest atoms and distances in Å follow each position.
Positions (direct):
Co (0.0000, 0.0000, 0.2408)  4 Co 2.59-2.79, 4 Rh 2.61, 4 Pt 2.66
Co (0.0000, 0.0000, 0.7592)  4 Co 2.59-2.79, 4 Rh 2.61, 4 Pt 2.66
Pt (0.5000, 0.5000, 0.5000)  8 Co 2.66, 2 Pt 2.68, 2 Rh 2.69
Rh (0.5000, 0.5000, 0.0000)  8 Co 2.61, 2 Rh 2.68, 2 Pt 2.69

=====

# 5
Co2Pt3Rh4 | PBE | optimized geometry

## Properties
- energy of formation from the pure elements (eV per atom) = -0.03
- DFT total energy (eV/cell) = -61.97
- space-group type = C2/m (12)

abc: 6.0824 6.0824 6.0369
angles: 107.47 107.47 36.81
Closest atoms and distances in Å follow each position.
Positions (direct):
Co (0.1723, 0.1723, 0.0016)  5 Pt 2.60-2.76, 2 Co 2.63, 5 Rh 2.63-2.76
Co (0.8277, 0.8277, 0.9984)  5 Pt 2.60-2.76, 2 Co 2.63, 5 Rh 2.63-2.76
Pt (0.3847, 0.3847, 0.3241)  3 Co 2.60-2.68, 2 Pt 2.69-2.83, 7 Rh 2.69-2.77
Pt (0.5000, 0.5000, 0.0000)  6 Rh 2.68-2.69, 2 Pt 2.69, 4 Co 2.76
Pt (0.6153, 0.6153, 0.6759)  3 Co 2.60-2.68, 2 Pt 2.69-2.83, 7 Rh 2.69-2.77
Rh (0.0568, 0.0568, 0.3281)  6 Pt 2.69-2.77, 4 Rh 2.70-2.78, 2 Co 2.71-2.76
Rh (0.2789, 0.2789, 0.6753)  3 Co 2.63-2.67, 4 Pt 2.68-2.76, 5 Rh 2.70-2.78
Rh (0.7211, 0.7211, 0.3247)  3 Co 2.63-2.67, 4 Pt 2.68-2.76, 5 Rh 2.70-2.78
Rh (0.9432, 0.9432, 0.6719)  6 Pt 2.69-2.77, 4 Rh 2.70-2.78, 2 Co 2.71-2.76

=====

# 6
Co4PtRh | PBE | optimized geometry

## Properties
- energy of formation from the pure elements (eV per atom) = -0.01
- energy above the most stable polymorph in this dataset (meV per atom) = 0
- DFT total energy (eV/cell) = -83.74
- space-group type = Cmcm (63)

abc: 5.8373 5.8373 7.3019
angles: 90.00 90.00 142.90
Closest atoms and distances in Å follow each position.
Positions (direct):
Co (0.0000, 0.0000, 0.0000)  2 Rh 2.56, 2 Pt 2.57, 8 Co 2.57-2.60
Co (0.0000, 0.0000, 0.5000)  2 Rh 2.56, 2 Pt 2.57, 8 Co 2.57-2.60
Co (0.3396, 0.6604, 0.5013)  6 Co 2.53-2.72, 3 Rh 2.60-2.69, 3 Pt 2.61-2.67
Co (0.3396, 0.6604, 0.9987)  6 Co 2.53-2.72, 3 Rh 2.60-2.69, 3 Pt 2.61-2.67
Co (0.4990, 0.5010, 0.7500)  8 Co 2.53-2.60, 2 Rh 2.57, 2 Pt 2.60
Co (0.5010, 0.4990, 0.2500)  8 Co 2.53-2.60, 2 Rh 2.57, 2 Pt 2.60
Co (0.6604, 0.3396, 0.0013)  6 Co 2.53-2.72, 3 Rh 2.60-2.69, 3 Pt 2.61-2.67
Co (0.6604, 0.3396, 0.4987)  6 Co 2.53-2.72, 3 Rh 2.60-2.69, 3 Pt 2.61-2.67
Pt (0.1629, 0.8371, 0.7500)  10 Co 2.57-2.67, 2 Rh 2.69
Pt (0.8371, 0.1629, 0.2500)  10 Co 2.57-2.67, 2 Rh 2.69
Rh (0.1615, 0.8385, 0.2500)  10 Co 2.56-2.69, 2 Pt 2.69
Rh (0.8385, 0.1615, 0.7500)  10 Co 2.56-2.69, 2 Pt 2.69

=====

# 7
Co2Pt3Rh2 | PBE | optimized geometry

## Properties
- energy of formation from the pure elements (eV per atom) = 0.44
- DFT total energy (eV/cell) = -43.94
- space-group type = P2/m (10)

abc: 2.6910 4.0582 11.0486
angles: 90.00 96.90 90.00
Closest atoms and distances in Å follow each position.
Positions (direct):
Co (0.0946, 0.0000, 0.1892)  4 Pt 2.47-2.65, 4 Rh 2.49, 2 Co 2.69
Co (0.9054, 0.0000, 0.8108)  4 Pt 2.47-2.65, 4 Rh 2.49, 2 Co 2.69
Pt (0.3015, 0.0000, 0.6033)  4 Pt 2.63-2.69, 2 Co 2.64-2.65, 2 Rh 2.67
Pt (0.5000, 0.0000, 0.0000)  4 Co 2.47, 2 Pt 2.69
Pt (0.6985, 0.0000, 0.3967)  4 Pt 2.63-2.69, 2 Co 2.64-2.65, 2 Rh 2.67
Rh (0.3804, 0.5000, 0.7617)  4 Co 2.49, 2 Pt 2.67, 2 Rh 2.69
Rh (0.6196, 0.5000, 0.2383)  4 Co 2.49, 2 Pt 2.67, 2 Rh 2.69

=====

# 8
CoPt2Rh | PBE | optimized geometry

## Properties
- energy of formation from the pure elements (eV per atom) = -0.04
- DFT total energy (eV/cell) = -26.71
- space-group type = P4mm (99)

abc: 2.7315 2.7315 7.6361
angles: 90.00 90.00 90.00
Closest atoms and distances in Å follow each position.
Positions (direct):
Co (0.0000, 0.0000, 0.0000)  4 Rh 2.58, 4 Pt 2.65, 4 Co 2.73
Pt (0.0000, 0.0000, 0.5116)  8 Pt 2.73-2.85, 4 Rh 2.79
Pt (0.5000, 0.5000, 0.2368)  4 Co 2.65, 8 Pt 2.73-2.85
Rh (0.5000, 0.5000, 0.7759)  4 Co 2.58, 4 Rh 2.73, 4 Pt 2.79

=====

# 9
CoPtRh4 | PBE | optimized geometry

## Properties
- energy of formation from the pure elements (eV per atom) = 0.48
- energy above the most stable polymorph in this dataset (meV per atom) = 461
- DFT total energy (eV/cell) = -39.67
- space-group type = F-43m (216)

abc: 5.0602 5.0602 5.0602
angles: 60.00 60.00 60.00
Closest atoms and distances in Å follow each position.
Positions (direct):
Co (0.0000, 0.0000, 0.0000)  12 Rh 2.97, 4 Pt 3.10
Pt (0.7500, 0.7500, 0.7500)  12 Rh 2.97, 4 Co 3.10
Rh (0.3750, 0.3750, 0.3750)  6 Rh 2.53
Rh (0.3750, 0.3750, 0.8751)  6 Rh 2.53
Rh (0.3750, 0.8751, 0.3750)  6 Rh 2.53
Rh (0.8751, 0.3750, 0.3750)  6 Rh 2.53

=====

# 10
CoPt3Rh4 | PBE | optimized geometry

## Properties
- energy of formation from the pure elements (eV per atom) = 0.21
- energy above the most stable polymorph in this dataset (meV per atom) = 0
- DFT total energy (eV/cell) = -52.94
- space-group type = Cmmm (65)

abc: 10.9944 10.9944 2.7276
angles: 90.00 90.00 158.49
Closest atoms and distances in Å follow each position.
Positions (direct):
Co (0.0000, 0.0000, 0.0000)  4 Pt 2.46, 4 Rh 2.48, 2 Co 2.73
Pt (0.3442, 0.6558, 0.0000)  2 Pt 2.73, 8 Rh 2.78
Pt (0.5000, 0.5000, 0.5000)  4 Co 2.46, 2 Pt 2.73
Pt (0.6558, 0.3442, 0.0000)  2 Pt 2.73, 8 Rh 2.78
Rh (0.0958, 0.9042, 0.5000)  2 Co 2.48, 3 Rh 2.59-2.73
Rh (0.2156, 0.7844, 0.5000)  5 Rh 2.53-2.73, 4 Pt 2.78
Rh (0.7844, 0.2156, 0.5000)  5 Rh 2.53-2.73, 4 Pt 2.78
Rh (0.9042, 0.0958, 0.5000)  2 Co 2.48, 3 Rh 2.59-2.73

=====

# 11
Co2Pt6Rh | PBE | optimized geometry

## Properties
- energy of formation from the pure elements (eV per atom) = 0.35
- energy above the most stable polymorph in this dataset (meV per atom) = 340
- DFT total energy (eV/cell) = -54.65
- space-group type = R3 (146)

abc: 7.1512 7.1512 7.1512
angles: 42.91 42.91 42.91
Closest atoms and distances in Å follow each position.
Positions (direct):
Co (0.0000, 0.0000, 0.0000)  1 Co 2.24
Co (0.1154, 0.1154, 0.1154)  1 Co 2.24
Pt (0.1568, 0.7098, 0.6211)  1 Co 2.55, 1 Rh 2.60, 6 Pt 2.60-2.80
Pt (0.3962, 0.4999, 0.9482)  1 Co 2.55, 1 Rh 2.59, 6 Pt 2.66-2.80
Pt (0.4999, 0.9482, 0.3962)  1 Co 2.55, 1 Rh 2.59, 6 Pt 2.66-2.80
Pt (0.6211, 0.1568, 0.7098)  1 Co 2.55, 1 Rh 2.60, 6 Pt 2.60-2.80
Pt (0.7098, 0.6211, 0.1568)  1 Co 2.55, 1 Rh 2.60, 6 Pt 2.60-2.80
Pt (0.9482, 0.3962, 0.4999)  1 Co 2.55, 1 Rh 2.59, 6 Pt 2.66-2.80
Rh (0.3889, 0.3889, 0.3889)  6 Pt 2.59-2.60

=====

# 12
CoPt2Rh | PBE | optimized geometry

## Properties
- energy of formation from the pure elements (eV per atom) = 0.47
- DFT total energy (eV/cell) = -24.65
- space-group type = R3m (160)

abc: 5.7808 5.7808 5.7808
angles: 38.55 38.55 38.55
Closest atoms and distances in Å follow each position.
Positions (direct):
Co (0.0000, 0.0000, 0.0000)  6 Pt 2.54-2.57, 1 Rh 2.62
Pt (0.5836, 0.5836, 0.5836)  3 Co 2.57, 1 Pt 2.59, 3 Rh 2.61
Pt (0.7452, 0.7452, 0.7452)  3 Co 2.54, 3 Rh 2.59, 1 Pt 2.59
Rh (0.1634, 0.1634, 0.1634)  6 Pt 2.59-2.61, 1 Co 2.62